A plane-wave DFT calculation with PBE was carried out for a relaxed Pm3N crystal.

abc: 3.3433 10.1683 6.1329
angles: 90.00 90.00 90.00
Space group Imm2 (No. 44)
Unique sites:
Pm: 0.0000 0.0000 0.0000
Pm: 0.0000 0.1611 0.4722
N: 0.0000 0.5000 0.7834

Computed properties:
The value obtained for the density of states at the Fermi level is 5.8 states/eV/f.u. As for the uncorrected formation energy: -1.53 eV per formula unit. As for the total energy: -6.0262 eV/atom. The calculation puts the energy above the most stable polymorph in this dataset at 6.019 kcal/mol of atoms.